[1]
Crystalline MnFeSb2I at its relaxed geometry, computed with PBE.

Cell and atoms, written as POSCAR:
```
MnFeSb2I
1.0
-0.9107 0.9846 4.6373
-2.7878 -3.9306 0.2871
4.5548 -3.1169 1.5563
I Fe Mn Sb
1 1 1 2
Direct
0.0000 0.0000 0.5000 I
0.5000 0.5000 0.5000 Fe
0.0000 0.0000 0.0000 Mn
0.0000 0.5000 0.0000 Sb
0.5000 0.0000 0.0000 Sb
```

## Properties
Crystal system: tetragonal
Total moment (μB per atom): 0.66
Energy above the most stable polymorph in this dataset (meV/atom): 251
Formation energy without anion corrections (eV/atom): 0.944
Space-group type: No. 123
Volume (A^3/atom): 26.73

***

[2]
Crystalline MnFe2SiI at its relaxed geometry, computed with PBE.

Cell and atoms, written as POSCAR:
```
MnFe2SiI
1.0
-4.3558 -0.2942 -0.1955
0.4610 -4.0255 -4.2127
0.0774 -3.1548 3.0231
Fe Mn Si I
2 1 1 1
Direct
0.5000 0.0000 0.0000 Fe
0.0000 0.0000 0.5000 Fe
0.5000 0.5000 0.5000 Mn
0.0000 0.0000 0.0000 Si
0.0000 0.5000 0.0000 I
```

## Properties
Crystal system: tetragonal
Total moment (μB per atom): 0.00
Energy above the most stable polymorph in this dataset (meV/atom): 0
Formation energy without anion corrections (eV/atom): 1.099
Space-group type: No. 123
Volume (A^3/atom): 22.33

***

[3]
Crystalline MnFe2SiI at its relaxed geometry, computed with PBE.

Cell and atoms, written as POSCAR:
```
MnFe2SiI
1.0
4.5011 0.0000 0.0000
0.0000 5.2350 0.0000
0.0000 0.0000 4.5011
Fe Si I Mn
2 1 1 1
Direct
0.0000 0.0000 0.5000 Fe
0.5000 0.0000 0.0000 Fe
0.0000 0.5000 0.0000 Si
0.0000 0.0000 0.0000 I
0.5000 0.5000 0.5000 Mn
```

## Properties
Crystal system: tetragonal
Total moment (μB per atom): 0.02
Energy above the most stable polymorph in this dataset (meV/atom): 1306
Formation energy without anion corrections (eV/atom): 2.405
Space-group type: No. 123
Volume (A^3/atom): 21.21

***

[4]
Crystalline MnTl2FeI at its relaxed geometry, computed with PBE.

Cell and atoms, written as POSCAR:
```
MnTl2FeI
1.0
-3.6669 2.4386 -2.9344
-3.6802 -3.2125 1.9292
-0.8991 3.4030 3.9515
I Mn Tl Fe
1 1 2 1
Direct
0.0000 0.5000 0.0000 I
0.5000 0.5000 0.5000 Mn
0.0000 0.0000 0.5000 Tl
0.5000 0.0000 0.0000 Tl
0.0000 0.0000 0.0000 Fe
```

## Properties
Crystal system: tetragonal
Total moment (μB per atom): 1.44
Formation energy without anion corrections (eV/atom): 0.747
Space-group type: No. 123
Volume (A^3/atom): 29.42

***

[5]
Crystalline MnTlFe2I8 at its relaxed geometry, computed with PBE.

Cell and atoms, written as POSCAR:
```
MnTlFe2I8
1.0
7.2270 0.0001 0.0000
3.6134 6.2588 0.0000
3.6135 2.0863 10.4040
I Fe Mn Tl
8 2 1 1
Direct
0.3767 0.7238 0.8337 I
0.0658 0.3767 0.8337 I
0.6233 0.2762 0.1663 I
0.2762 0.9342 0.1663 I
0.1718 0.1718 0.4846 I
0.9342 0.6233 0.1663 I
0.8282 0.8282 0.5154 I
0.7238 0.0658 0.8337 I
0.7465 0.7465 0.7606 Fe
0.2535 0.2535 0.2394 Fe
0.0000 0.0000 0.0000 Mn
0.5000 0.5000 0.5000 Tl
```

## Properties
Crystal system: trigonal
Total moment (μB per atom): 1.17
Formation energy without anion corrections (eV/atom): -0.241
Space-group type: No. 148
Volume (A^3/atom): 39.22

***

[6]
Crystalline FeMoI2 at its relaxed geometry, computed with PBE.

Cell and atoms, written as POSCAR:
```
FeMoI2
1.0
0.0000 3.3537 3.3537
3.3537 0.0000 3.3537
3.3537 3.3537 0.0000
I Mo Fe
2 1 1
Direct
0.7500 0.7500 0.7500 I
0.2500 0.2500 0.2500 I
0.5000 0.5000 0.5000 Mo
0.0000 0.0000 0.0000 Fe
```

## Properties
Crystal system: cubic
Total moment (μB per atom): 0.00
Energy above the most stable polymorph in this dataset (meV/atom): 189
Formation energy without anion corrections (eV/atom): 1.194
Space-group type: No. 225
Volume (A^3/atom): 18.86

***

[7]
Crystalline Fe2MoI8 at its relaxed geometry, computed with PBE.

Cell and atoms, written as POSCAR:
```
Fe2MoI8
1.0
6.7546 -0.3240 0.4610
0.0873 8.0489 3.4493
-0.6887 -0.6480 8.7061
Fe I Mo
2 8 1
Direct
0.6205 0.8308 0.8308 Fe
0.3795 0.1692 0.1692 Fe
0.7683 0.7188 0.1205 I
0.2317 0.8795 0.2812 I
0.2317 0.2812 0.8795 I
0.7664 0.1666 0.1666 I
0.7008 0.6597 0.6597 I
0.2992 0.3403 0.3403 I
0.2336 0.8334 0.8334 I
0.7683 0.1205 0.7188 I
0.0000 0.0000 0.0000 Mo
```

## Properties
Crystal system: monoclinic
Total moment (μB per atom): 1.09
Formation energy without anion corrections (eV/atom): -0.132
Space-group type: No. 12
Volume (A^3/atom): 44.72

***

[8]
Crystalline FeMoI2 at its relaxed geometry, computed with PBE.

Cell and atoms, written as POSCAR:
```
FeMoI2
1.0
-4.4937 -3.0578 2.7929
4.0745 -2.5272 3.7888
-0.9144 1.6303 6.9990
I Mo Fe
4 2 2
Direct
0.8750 0.8560 0.7500 I
0.6060 0.1250 0.2500 I
0.1440 0.6250 0.2500 I
0.3750 0.3940 0.7500 I
0.0000 0.0000 0.0000 Mo
0.7500 0.2500 0.5000 Mo
0.2500 0.7500 0.5000 Fe
0.5000 0.5000 0.0000 Fe
```

## Properties
Crystal system: tetragonal
Total moment (μB per atom): 0.25
Energy above the most stable polymorph in this dataset (meV/atom): 0
Formation energy without anion corrections (eV/atom): 1.006
Space-group type: No. 122
Volume (A^3/atom): 27.14

***

[9]
Crystalline Fe3MoI at its relaxed geometry, computed with PBE.

Cell and atoms, written as POSCAR:
```
Fe3MoI
1.0
-2.2072 0.8316 -3.9961
3.4952 -1.9613 -2.3386
-2.1082 -4.1224 0.3065
I Fe Mo
1 3 1
Direct
0.5000 0.5000 0.5000 I
0.0000 0.5000 0.0000 Fe
0.0000 0.0000 0.5000 Fe
0.5000 0.0000 0.0000 Fe
0.0000 0.0000 0.0000 Mo
```

## Properties
Crystal system: cubic
Total moment (μB per atom): 1.20
Energy above the most stable polymorph in this dataset (meV/atom): 0
Formation energy without anion corrections (eV/atom): 1.556
Space-group type: No. 221
Volume (A^3/atom): 19.98

***

[10]
Crystalline Fe3MoI at its relaxed geometry, computed with PBE.

Cell and atoms, written as POSCAR:
```
Fe3MoI
1.0
4.4621 0.0000 0.0000
0.0000 4.4621 0.0000
0.0000 0.0000 4.4621
I Fe Mo
1 3 1
Direct
0.0000 0.0000 0.0000 I
0.5000 0.0000 0.0000 Fe
0.0000 0.0000 0.5000 Fe
0.0000 0.5000 0.0000 Fe
0.5000 0.5000 0.5000 Mo
```

## Properties
Crystal system: cubic
Total moment (μB per atom): 0.00
Energy above the most stable polymorph in this dataset (meV/atom): 674
Formation energy without anion corrections (eV/atom): 2.230
Space-group type: No. 221
Volume (A^3/atom): 17.77

***

[11]
Crystalline FeMoIN2 at its relaxed geometry, computed with PBE.

Cell and atoms, written as POSCAR:
```
FeMoIN2
1.0
3.9151 0.0000 0.0000
0.0000 3.9151 0.0000
0.0000 0.0000 5.8378
Mo N Fe I
1 2 1 1
Direct
0.0000 0.0000 0.0000 Mo
0.5000 0.0000 0.0000 N
0.0000 0.5000 0.0000 N
0.5000 0.5000 0.5000 Fe
0.0000 0.0000 0.5000 I
```

## Properties
Crystal system: tetragonal
Total moment (μB per atom): 0.62
Energy above the most stable polymorph in this dataset (meV/atom): 0
Formation energy without anion corrections (eV/atom): 0.913
Space-group type: No. 123
Volume (A^3/atom): 17.90

***

[12]
Crystalline FeMoIN2 at its relaxed geometry, computed with PBE.

Cell and atoms, written as POSCAR:
```
FeMoIN2
1.0
-1.6235 -2.9777 1.7289
3.0438 -0.3476 2.2596
-2.2520 3.2824 3.5385
N Mo Fe I
2 1 1 1
Direct
0.5000 0.0000 0.0000 N
0.0000 0.5000 0.0000 N
0.5000 0.5000 0.5000 Mo
0.0000 0.0000 0.0000 Fe
0.0000 0.0000 0.5000 I
```

## Properties
Crystal system: tetragonal
Total moment (μB per atom): 0.72
Energy above the most stable polymorph in this dataset (meV/atom): 635
Formation energy without anion corrections (eV/atom): 1.548
Space-group type: No. 123
Volume (A^3/atom): 15.44